A relaxed structure of Cs2Rb4InBi2, computed with GGA-PBE.

## Properties
E = -1.964 eV/atom
E_form = -0.178 eV/atom

Lattice parameters (Å, degrees): 17.478 9.689 6.302 90.00 110.69 90.00
Space group C2/m (No. 12)
Asymmetric unit:
Cs: 0.145 0.000 0.149 x4
Rb: 0.133 0.289 0.637 x8
In: 0.000 0.500 0.000 x2
Bi: 0.193 0.500 0.194 x4